CrCuRh3 | PBE-GGA | optimized geometry

N(E_F) (states/eV/f.u.): 3.65
E_form (meV/atom): 954
Polymorph energy (0 for the lowest one) (kJ per mole of atoms): 93.4
Total magnetization (μB/atom): 0.00

a = 4.4259 Å, b = 4.4259 Å, c = 4.4259 Å
α = 90.00°, β = 90.00°, γ = 90.00°
Space group Pm-3m (No. 221)
Unique sites:
Cr  0.0000  0.0000  0.0000 [1 per cell]
Cu  0.5000  0.5000  0.5000 [1 per cell]
Rh  0.0000  0.0000  0.5000 [3 per cell]



CrCuRh2 | PBE-GGA | optimized geometry

N(E_F) (states/eV/f.u.): 6.11
E_form (meV/atom): 24
Total magnetization (μB/atom): 0.36

a = 3.6929 Å, b = 3.6929 Å, c = 7.8273 Å
α = 90.00°, β = 90.00°, γ = 90.00°
Space group I-4m2 (No. 119)
Unique sites:
Cr  0.0000  0.0000  0.0000 [2 per cell]
Cu  0.0000  0.5000  0.2500 [2 per cell]
Rh  0.0000  0.0000  0.5000 [2 per cell]
Rh  0.0000  0.5000  0.7500 [2 per cell]



Cr2CuRh | PBE-GGA | optimized geometry

N(E_F) (states/eV/f.u.): 4.50
E_form (meV/atom): 161
Total magnetization (μB/atom): 0.00

a = 5.0579 Å, b = 7.6392 Å, c = 2.5766 Å
α = 90.00°, β = 90.00°, γ = 90.00°
Space group Cmmm (No. 65)
Unique sites:
Cr  0.2500  0.2500  0.0000 [4 per cell]
Cu  0.0000  0.0000  0.5000 [2 per cell]
Rh  0.0000  0.5000  0.5000 [2 per cell]